This record from the Alexandria database describes crystalline TaAg3S4 at its relaxed geometry. The functional is PBE.

a b c (Å): 6.841 7.020 7.981
angles (deg): 90.00 90.00 90.00
Fractional positions:
Ta: 0.008 0.176 0.000
Ta: 0.508 0.824 0.500
Ag: 0.495 0.850 0.000
Ag: 0.989 0.675 0.248
Ag: 0.489 0.325 0.252
Ag: 0.995 0.150 0.500
Ag: 0.489 0.325 0.748
Ag: 0.989 0.675 0.752
S: 0.123 0.868 0.000
S: 0.673 0.176 0.000
S: 0.119 0.331 0.238
S: 0.619 0.669 0.262
S: 0.173 0.824 0.500
S: 0.623 0.132 0.500
S: 0.619 0.669 0.738
S: 0.119 0.331 0.762

**Size of the total moment**: 0.000 μB/atom
**Calculated volume**: 23.96 Å³/atom
**Crystal system**: orthorhombic
**Energy relative to the elements, uncorrected**: -0.448 eV per atom